one | ## TlVI2O (GGA+U)

Data for a relaxed structure of TlVI2O.

Cell: 5.9916 5.9916 3.7899 Å, 90.00 90.00 90.00°
Space group P4/mmm (No. 123)
Asymmetric unit:
Tl 0.0000 0.0000 0.0000
V 0.5000 0.5000 0.5000
I 0.0000 0.5000 0.5000
O 0.5000 0.5000 0.0000

M_tot (μB per formula unit): 2.00


two | ## TlVI2O (GGA+U)

Data for a relaxed structure of TlVI2O.

Cell: 6.1746 6.1746 4.0991 Å, 90.00 90.00 90.00°
Space group P4/mmm (No. 123)
Asymmetric unit:
Tl 0.0000 0.0000 0.0000
V 0.5000 0.5000 0.5000
I 0.0000 0.5000 0.0000
O 0.0000 0.0000 0.5000

M_tot (μB per formula unit): 0.03


Q: Which of them is the least stable? A: two.


one | ## TlWIO2 (GGA+U)

Data for a relaxed structure of TlWIO2.

Cell: 4.2941 4.2941 6.6265 Å, 90.00 90.00 90.00°
Space group P4/mmm (No. 123)
Asymmetric unit:
Tl 0.0000 0.0000 0.0000
W 0.5000 0.5000 0.5000
I 0.0000 0.0000 0.5000
O 0.0000 0.5000 0.0000

M_tot (μB per formula unit): 5.04


two | ## TlWIO2 (GGA+U)

Data for a relaxed structure of TlWIO2.

Cell: 4.2376 4.2376 5.8184 Å, 90.00 90.00 90.00°
Space group P4/mmm (No. 123)
Asymmetric unit:
Tl 0.0000 0.0000 0.0000
W 0.5000 0.5000 0.5000
I 0.5000 0.5000 0.0000
O 0.0000 0.5000 0.5000

M_tot (μB per formula unit): 2.04


Q: Which of them is the least stable? A: one.


one | ## Tl2WIO (GGA+U)

Data for a relaxed structure of Tl2WIO.

Cell: 6.2099 6.2099 3.9342 Å, 90.00 90.00 90.00°
Space group P4/mmm (No. 123)
Asymmetric unit:
Tl 0.0000 0.5000 0.0000
W 0.0000 0.0000 0.5000
I 0.5000 0.5000 0.5000
O 0.0000 0.0000 0.0000

M_tot (μB per formula unit): 3.13


two | ## Tl2WIO (GGA+U)

Data for a relaxed structure of Tl2WIO.

Cell: 6.5648 6.5648 5.7057 Å, 90.00 90.00 90.00°
Space group P4/mmm (No. 123)
Asymmetric unit:
Tl 0.0000 0.5000 0.0000
W 0.0000 0.0000 0.5000
I 0.0000 0.0000 0.0000
O 0.5000 0.5000 0.5000

M_tot (μB per formula unit): 5.36


Q: Which of them is the least stable? A: two.